No. 1
A relaxed AgP2Cl crystal, computed with PBEsol.

Calculated values
energy above the most stable polymorph in this dataset = 350.5 meV per atom
DOS at the Fermi energy = 3.33 states/eV/cell
E_form (uncorrected) = 258.2 meV per atom

```
data_AgP2Cl
_chemical_formula_sum 'Ag2 P4 Cl2'
_cell_length_a 3.4213
_cell_length_b 3.4213
_cell_length_c 13.8031
_cell_angle_alpha 90.00
_cell_angle_beta 90.00
_cell_angle_gamma 90.00
_symmetry_space_group_name_H-M 'I 4/m m m'
_symmetry_Int_Tables_number 139
_symmetry_space_group_name_Hall '-I 4 2'
loop_
_atom_site_label
_atom_site_type_symbol
_atom_site_fract_x
_atom_site_fract_y
_atom_site_fract_z
Ag1 Ag 0.0000 0.0000 0.0000
P1 P 0.0000 0.5000 0.2500
Cl1 Cl 0.0000 0.0000 0.5000
```

No. 2
A relaxed ScWBr2 crystal, computed with PBEsol.

Calculated values
energy above the most stable polymorph in this dataset = 248.6 meV per atom
DOS at the Fermi energy = 3.78 states/eV/cell
E_form (uncorrected) = 58.6 meV per atom

```
data_ScWBr2
_chemical_formula_sum 'Sc2 W2 Br4'
_cell_length_a 9.2385
_cell_length_b 3.2108
_cell_length_c 7.5996
_cell_angle_alpha 90.00
_cell_angle_beta 116.28
_cell_angle_gamma 90.00
_symmetry_space_group_name_H-M 'C 1 m 1'
_symmetry_Int_Tables_number 8
loop_
_symmetry_equiv_pos_as_xyz
'x,y,z'
'x,-y,z'
'x+1/2,y+1/2,z'
'x+1/2,-y+1/2,z'
loop_
_atom_site_label
_atom_site_type_symbol
_atom_site_fract_x
_atom_site_fract_y
_atom_site_fract_z
Sc1 Sc 0.0000 0.0000 0.0000
W1 W 0.2687 0.5000 0.1330
Br1 Br 0.2173 0.0000 0.8281
Br2 Br 0.3468 0.0000 0.4195
```